No. 1
{"formula": "CdHgPt2", "functional": "GGA-PBE", "state": "relaxed", "dft_energy_ev_per_fu": -12.9, "delta_e_f_mev_per_atom": 103, "lattice_angstrom": [[4.275, 0.000, 0.000], [2.137, 3.702, 0.000], [2.137, 1.234, 5.308]], "species": ["Cd", "Hg", "Pt", "Pt"], "frac_coords": [[0.492, 0.492, 0.524], [0.673, 0.673, 0.980], [0.082, 0.082, 0.753], [0.252, 0.252, 0.243]]}

=====

No. 2
{"formula": "CdHgPt2", "functional": "GGA-PBE", "state": "relaxed", "dft_energy_ev_per_fu": -13.5, "delta_e_f_mev_per_atom": -47, "lattice_angstrom": [[-1.008, -3.927, -2.715], [0.797, -4.795, -0.425], [-4.143, -1.869, 2.557]], "species": ["Hg", "Pt", "Pt", "Cd"], "frac_coords": [[0.250, 0.250, 0.250], [0.002, 0.002, 0.996], [0.498, 0.498, 0.504], [0.750, 0.750, 0.750]]}

=====

No. 3
{"formula": "CdHg2Pt", "functional": "GGA-PBE", "state": "relaxed", "dft_energy_ev_per_fu": -7.5, "delta_e_f_mev_per_atom": 21, "lattice_angstrom": [[-4.913, 2.106, 0.174], [-3.807, -3.756, -0.057], [4.417, 0.734, 2.924]], "species": ["Hg", "Hg", "Pt", "Cd"], "frac_coords": [[0.001, 0.001, 0.000], [0.499, 0.499, 0.000], [0.250, 0.750, 0.500], [0.750, 0.250, 0.500]]}

=====

So what do the calculations give for mass density? Going down the list: 13.9, 16.2, 14.9 Mg/m³.